[1]
DFT (PBE-GGA) results for crystalline ZnInB at its relaxed geometry.

Lattice parameters (Å, degrees): 3.177 3.901 8.779 90.00 100.03 90.00
Fractional positions:
Zn: 0.000 0.000 0.000
Zn: 0.460 0.500 0.197
In: 0.017 0.000 0.370
In: 0.607 0.500 0.609
B: 0.267 0.500 0.937
B: 0.747 0.500 0.892

Summary:
As for the crystal system: monoclinic. For the formation energy, the calculation gives 0.27 eV/atom.

[2]
DFT (PBE-GGA) results for crystalline Na2ScI at its relaxed geometry.

Lattice parameters (Å, degrees): 5.784 5.784 5.784 60.00 60.00 60.00
Fractional positions:
Na: 0.250 0.250 0.250
Na: 0.750 0.750 0.750
Sc: 0.000 0.000 0.000
I: 0.500 0.500 0.500

Summary:
As for the crystal system: cubic. The formation energy from raw total energies comes out at 252 meV per atom.

[3]
DFT (PBE-GGA) results for crystalline LiGaH2 at its relaxed geometry.

Lattice parameters (Å, degrees): 3.846 3.846 3.846 60.00 60.00 60.00
Fractional positions:
Li: 0.000 0.000 0.000
Ga: 0.500 0.500 0.500
H: 0.250 0.250 0.250
H: 0.750 0.750 0.750

Summary:
As for the crystal system: cubic. For the total energy, the calculation gives -2.648 eV per atom.

[4]
DFT (PBE-GGA) results for crystalline RbCrCu2H at its relaxed geometry.

Lattice parameters (Å, degrees): 5.128 5.128 3.479 90.00 90.00 90.00
Fractional positions:
Rb: 0.000 0.000 0.000
Cr: 0.500 0.500 0.500
Cu: 0.000 0.500 0.500
Cu: 0.500 0.000 0.500
H: 0.500 0.500 0.000

Summary:
As for the crystal system: tetragonal. For the total energy, the calculation gives -3.381 eV per atom.

[5]
DFT (PBE-GGA) results for crystalline Ac2YRh2I2 at its relaxed geometry.

Lattice parameters (Å, degrees): 9.529 9.529 9.529 148.50 148.50 45.15
Fractional positions:
Ac: 0.107 0.107 0.000
Ac: 0.893 0.893 0.000
Y: 0.500 0.500 0.000
Rh: 0.000 0.500 0.500
Rh: 0.500 0.000 0.500
I: 0.310 0.310 0.000
I: 0.690 0.690 0.000

Summary:
As for the crystal system: tetragonal. The formation energy from raw total energies comes out at -831 meV per atom.

[6]
DFT (PBE-GGA) results for crystalline HoEr5S6 at its relaxed geometry.

Lattice parameters (Å, degrees): 6.708 6.708 6.687 99.66 99.66 120.12
Fractional positions:
Ho: 0.000 0.000 0.000
Er: 0.166 0.834 0.500
Er: 0.333 0.667 0.000
Er: 0.500 0.500 0.500
Er: 0.667 0.333 0.000
Er: 0.834 0.166 0.500
S: 0.084 0.418 0.251
S: 0.251 0.251 0.750
S: 0.418 0.084 0.251
S: 0.582 0.916 0.749
S: 0.749 0.749 0.250
S: 0.916 0.582 0.749

Summary:
As for the crystal system: monoclinic. The formation energy from raw total energies comes out at -1960 meV per atom.

[7]
DFT (PBE-GGA) results for crystalline RbVAu at its relaxed geometry.

Lattice parameters (Å, degrees): 6.011 6.011 5.622 114.03 114.03 70.27
Fractional positions:
Rb: 0.000 0.000 0.000
Rb: 0.243 0.243 0.744
V: 0.628 0.628 0.389
V: 0.689 0.689 0.123
Au: 0.173 0.601 0.389
Au: 0.601 0.173 0.389

Summary:
As for the crystal system: monoclinic. For the formation energy, the calculation gives 0.47 eV/atom.

[8]
DFT (PBE-GGA) results for crystalline Te3Se at its relaxed geometry.

Lattice parameters (Å, degrees): 8.349 11.759 7.644 90.00 90.00 90.00
Fractional positions:
Te: 0.003 0.250 0.011
Te: 0.004 0.579 0.670
Te: 0.004 0.921 0.670
Te: 0.250 0.250 0.476
Te: 0.250 0.592 0.149
Te: 0.250 0.908 0.149
Te: 0.496 0.579 0.670
Te: 0.496 0.921 0.670
Te: 0.497 0.250 0.011
Te: 0.503 0.750 0.989
Te: 0.504 0.079 0.330
Te: 0.504 0.421 0.330
Te: 0.750 0.092 0.851
Te: 0.750 0.408 0.851
Te: 0.750 0.750 0.524
Te: 0.996 0.079 0.330
Te: 0.996 0.421 0.330
Te: 0.997 0.750 0.989
Se: 0.250 0.049 0.822
Se: 0.250 0.451 0.822
Se: 0.250 0.750 0.415
Se: 0.750 0.250 0.585
Se: 0.750 0.549 0.178
Se: 0.750 0.951 0.178

Summary:
As for the crystal system: orthorhombic. The formation energy from raw total energies comes out at 86 meV per atom.

[9]
DFT (PBE-GGA) results for crystalline Sm3DyZn2 at its relaxed geometry.

Lattice parameters (Å, degrees): 8.800 8.800 8.800 133.31 69.99 131.01
Fractional positions:
Sm: 0.023 0.750 0.273
Sm: 0.250 0.250 0.000
Sm: 0.477 0.750 0.727
Sm: 0.523 0.250 0.273
Sm: 0.750 0.750 0.000
Sm: 0.977 0.250 0.727
Dy: 0.000 0.500 0.500
Dy: 0.500 0.000 0.500
Zn: 0.138 0.205 0.343
Zn: 0.362 0.705 0.068
Zn: 0.638 0.295 0.932
Zn: 0.862 0.795 0.657

Summary:
As for the crystal system: orthorhombic. For the formation energy, the calculation gives 0.05 eV/atom.

[10]
DFT (PBE-GGA) results for crystalline KNaN2O at its relaxed geometry.

Lattice parameters (Å, degrees): 5.147 5.147 4.801 90.00 90.00 90.00
Fractional positions:
K: 0.000 0.000 0.000
Na: 0.500 0.500 0.500
N: 0.000 0.500 0.000
N: 0.500 0.000 0.000
O: 0.000 0.000 0.500

Summary:
As for the crystal system: tetragonal. The formation energy from raw total energies comes out at 1611 meV per atom.

[11]
DFT (PBE-GGA) results for crystalline Li2MgIn at its relaxed geometry.

Lattice parameters (Å, degrees): 2.980 4.710 5.825 90.00 102.47 90.00
Fractional positions:
Li: 0.000 0.000 0.000
Li: 0.000 0.500 0.251
Mg: 0.645 0.000 0.487
In: 0.345 0.500 0.780

Summary:
As for the crystal system: monoclinic. For the formation energy, the calculation gives -0.17 eV/atom.

[12]
DFT (PBE-GGA) results for crystalline Ta2Co2Ag at its relaxed geometry.

Lattice parameters (Å, degrees): 7.507 7.507 2.759 90.00 90.00 90.00
Fractional positions:
Ta: 0.148 0.352 0.000
Ta: 0.352 0.852 0.000
Ta: 0.648 0.148 0.000
Ta: 0.852 0.648 0.000
Co: 0.142 0.642 0.500
Co: 0.358 0.142 0.500
Co: 0.642 0.858 0.500
Co: 0.858 0.358 0.500
Ag: 0.000 0.000 0.000
Ag: 0.500 0.500 0.000

Summary:
As for the crystal system: tetragonal. For the formation energy, the calculation gives 0.17 eV/atom.

[13]
DFT (PBE-GGA) results for crystalline Ho3C at its relaxed geometry.

Lattice parameters (Å, degrees): 6.011 6.011 6.011 147.81 69.32 120.46
Fractional positions:
Ho: 0.000 0.000 0.000
Ho: 0.379 0.545 0.835
Ho: 0.710 0.545 0.165
C: 0.705 0.205 0.500

Summary:
As for the crystal system: orthorhombic. For the formation energy, the calculation gives 0.02 eV/atom.

[14]
DFT (PBE-GGA) results for crystalline BaIn2Ga at its relaxed geometry.

Lattice parameters (Å, degrees): 4.705 4.705 11.034 90.00 90.00 90.00
Fractional positions:
Ba: 0.250 0.250 0.242
Ba: 0.750 0.750 0.758
In: 0.250 0.250 0.932
In: 0.250 0.750 0.500
In: 0.750 0.250 0.500
In: 0.750 0.750 0.068
Ga: 0.250 0.250 0.660
Ga: 0.750 0.750 0.340

Summary:
As for the crystal system: tetragonal. For the formation energy, the calculation gives -0.33 eV/atom.

[15]
DFT (PBE-GGA) results for crystalline SrGa3Ir at its relaxed geometry.

Lattice parameters (Å, degrees): 6.135 6.135 6.150 90.00 90.00 117.35
Fractional positions:
Sr: 0.241 0.759 0.750
Sr: 0.759 0.241 0.250
Ga: 0.267 0.267 0.000
Ga: 0.267 0.267 0.500
Ga: 0.336 0.664 0.250
Ga: 0.664 0.336 0.750
Ga: 0.733 0.733 0.000
Ga: 0.733 0.733 0.500
Ir: 0.104 0.896 0.250
Ir: 0.896 0.104 0.750

Summary:
As for the crystal system: orthorhombic. For the formation energy, the calculation gives -0.52 eV/atom.

[16]
DFT (PBE-GGA) results for crystalline LaOs2Ru at its relaxed geometry.

Lattice parameters (Å, degrees): 2.897 4.650 5.537 90.00 102.80 90.00
Fractional positions:
La: 0.000 0.000 0.000
Os: 0.325 0.500 0.699
Os: 0.675 0.500 0.301
Ru: 0.500 0.000 0.500

Summary:
As for the crystal system: monoclinic. For the formation energy, the calculation gives 0.57 eV/atom.

[17]
DFT (PBE-GGA) results for crystalline Ta2BeSn at its relaxed geometry.

Lattice parameters (Å, degrees): 10.279 10.279 10.279 158.20 158.20 31.02
Fractional positions:
Ta: 0.120 0.625 0.995
Ta: 0.375 0.370 0.495
Ta: 0.630 0.125 0.005
Ta: 0.875 0.880 0.505
Be: 0.000 0.000 0.000
Be: 0.750 0.250 0.500
Sn: 0.250 0.750 0.500
Sn: 0.500 0.500 0.000

Summary:
As for the crystal system: tetragonal. For the formation energy, the calculation gives 0.61 eV/atom.

[18]
DFT (PBE-GGA) results for crystalline SrRh3Se at its relaxed geometry.

Lattice parameters (Å, degrees): 4.686 4.686 4.686 90.00 90.00 90.00
Fractional positions:
Sr: 0.000 0.000 0.000
Rh: 0.000 0.500 0.500
Rh: 0.500 0.000 0.500
Rh: 0.500 0.500 0.000
Se: 0.500 0.500 0.500

Summary:
As for the crystal system: cubic. The formation energy from raw total energies comes out at -124 meV per atom.

[19]
DFT (PBE-GGA) results for crystalline RbCaSe2F at its relaxed geometry.

Lattice parameters (Å, degrees): 5.653 5.653 4.788 90.00 90.00 90.00
Fractional positions:
Rb: 0.000 0.000 0.000
Ca: 0.500 0.500 0.500
Se: 0.000 0.500 0.000
Se: 0.500 0.000 0.000
F: 0.000 0.000 0.500

Summary:
As for the crystal system: tetragonal. The formation energy from raw total energies comes out at -674 meV per atom.

[20]
DFT (PBE-GGA) results for crystalline ScCrIn2 at its relaxed geometry.

Lattice parameters (Å, degrees): 9.546 9.546 9.546 19.90 19.90 19.90
Fractional positions:
Sc: 0.000 0.000 0.000
Cr: 0.500 0.500 0.500
In: 0.245 0.245 0.245
In: 0.755 0.755 0.755

Summary:
As for the crystal system: trigonal. For the formation energy, the calculation gives 0.13 eV/atom.